(1)
DFT (PBE) results for a relaxed Rb2ZrGa crystal.

Cell lengths 13.334, 13.334, 5.315 Å; angles 90.00, 90.00, 90.00 degrees
Space group I-42d (No. 122)
Unique sites:
Rb (0.088, 0.250, 0.125) x8
Zr (0.000, 0.000, 0.500) x4
Ga (0.000, 0.000, 0.000) x4

Formation energy from the elements = 764 meV/atom
DOS(E_F) = 18.48 states/eV/cell
Electronic total energy = -41.82 eV per cell

=====

(2)
DFT (PBE) results for a relaxed RbZrGa crystal.

Cell lengths 5.4504, 5.4504, 5.9823 Å; angles 90.00, 90.00, 120.00 degrees
Space group P6_3mc (No. 186)
Unique sites:
Rb (0.0000, 0.0000, 0.0000) x2
Zr (0.3333, 0.6667, 0.1915) x2
Ga (0.3333, 0.6667, 0.6990) x2

Formation energy from the elements = 569 meV/atom
E above lowest polymorph = 659 meV/atom
DOS(E_F) = 1.68 states/eV/cell
Electronic total energy = -21.67 eV per cell

=====

(3)
DFT (PBE) results for a relaxed RbZrGa crystal.

Cell lengths 14.480, 5.495, 5.171 Å; angles 90.00, 90.00, 90.00 degrees
Space group Pnma (No. 62)
Unique sites:
Rb (0.225, 0.250, 0.003) x4
Zr (0.000, 0.250, 0.500) x4
Ga (0.000, 0.000, 0.000) x4

Formation energy from the elements = 228 meV/atom
E above lowest polymorph = 318 meV/atom
DOS(E_F) = 9.05 states/eV/cell
Electronic total energy = -47.43 eV per cell

=====

(4)
DFT (PBE) results for a relaxed RbZrGa crystal.

Cell lengths 3.801, 3.807, 13.776 Å; angles 90.00, 90.87, 90.00 degrees
Space group P2_1/m (No. 11)
Unique sites:
Rb (0.232, 0.250, 0.164) x2
Zr (0.246, 0.250, 0.430) x2
Ga (0.258, 0.250, 0.636) x2

Formation energy from the elements = -90 meV/atom
E above lowest polymorph = 0 meV/atom
DOS(E_F) = 5.91 states/eV/cell
Electronic total energy = -25.62 eV per cell

=====

(5)
DFT (PBE) results for a relaxed RbZrGa crystal.

Cell lengths 8.838, 4.829, 8.519 Å; angles 90.00, 90.00, 90.00 degrees
Space group Pnma (No. 62)
Unique sites:
Rb (0.007, 0.250, 0.137) x4
Zr (0.107, 0.750, 0.444) x4
Ga (0.184, 0.250, 0.645) x4

Formation energy from the elements = 353 meV/atom
E above lowest polymorph = 443 meV/atom
DOS(E_F) = 5.38 states/eV/cell
Electronic total energy = -45.93 eV per cell

=====

(6)
DFT (PBE) results for a relaxed RbZrGa2 crystal.

Cell lengths 5.616, 5.616, 18.823 Å; angles 90.00, 90.00, 90.00 degrees
Space group I-42d (No. 122)
Unique sites:
Rb (0.000, 0.000, 0.000) x4
Zr (0.000, 0.000, 0.500) x4
Ga (0.033, 0.250, 0.625) x8

Formation energy from the elements = 501 meV/atom
E above lowest polymorph = 35 meV/atom
DOS(E_F) = 24.65 states/eV/cell
Electronic total energy = -54.26 eV per cell

=====

Question: What is the DOS(E_F) in the third record?
Answer: 9.05 states/eV/cell